# 1
PBE BaSi6N8O, optimized geometry; SG = No. 44; calculated total energy = -7.965 eV per atom; raw formation energy = -1.34 eV/atom
1.0
6.829 -0.008 0.001
0.189 6.827 -0.001
-1.928 -5.036 4.190
Si N O Ba
6 8 1 1
Cartesian
2.975 1.723 3.461 Si
4.782 -0.168 2.202 Si
0.219 2.042 2.201 Si
2.039 0.138 0.912 Si
5.021 -2.932 3.462 Si
-0.007 4.793 0.911 Si
-0.480 3.624 2.133 N
3.479 -3.581 3.267 N
1.243 -1.279 1.354 N
5.387 5.847 0.738 N
3.221 0.577 2.134 N
4.931 -1.184 3.596 N
1.230 1.863 3.595 N
1.019 1.602 0.738 N
-1.058 1.089 2.549 O
1.604 -1.651 4.133 Ba

# 2
PBE BaSiNO2, optimized geometry; SG = No. 123; calculated total energy = -4.110 eV per atom; raw formation energy = 1.01 eV/atom
1.0
-1.482 3.968 1.730
-3.335 -2.213 2.217
2.862 -0.563 3.743
N O Si Ba
1 2 1 1
Cartesian
1.431 -0.282 1.872 N
-0.741 1.984 0.865 O
-1.668 -1.106 1.109 O
-0.978 0.596 3.846 Si
0.000 0.000 0.000 Ba

# 3
PBE BaSrSi4N4O4, optimized geometry; SG = No. 1; calculated total energy = -7.665 eV per atom; raw formation energy = -2.06 eV/atom
1.0
7.351 0.098 -0.317
0.941 7.291 0.386
1.404 0.496 7.203
Si N O Sr Ba
8 8 8 2 2
Cartesian
3.045 6.179 1.758 Si
3.373 3.260 1.507 Si
8.422 4.396 2.891 Si
1.423 1.333 2.992 Si
6.308 2.581 1.474 Si
4.231 0.666 2.845 Si
7.542 6.997 1.606 Si
5.534 5.024 2.936 Si
2.409 4.590 2.114 N
3.009 1.857 2.487 N
5.056 3.759 1.812 N
4.482 6.404 2.739 N
7.696 2.814 2.539 N
1.859 7.369 2.251 N
7.149 5.537 2.493 N
5.633 1.014 1.858 N
4.758 6.832 7.373 O
4.563 3.474 7.115 O
8.787 7.336 7.197 O
4.567 0.568 4.436 O
1.448 0.782 4.521 O
6.749 2.680 -0.086 O
5.471 4.514 4.476 O
1.521 4.370 4.776 O
2.765 1.820 6.410 Sr
3.494 5.767 5.475 Sr
7.059 5.585 6.355 Ba
6.521 2.107 5.252 Ba

# 4
PBE BaSrNO2, optimized geometry; SG = No. 123; calculated total energy = -4.827 eV per atom; raw formation energy = -0.46 eV/atom
1.0
4.705 0.000 0.000
0.000 4.705 0.000
0.000 0.000 4.690
O Sr Ba N
2 1 1 1
Cartesian
0.000 2.352 0.000 O
2.352 0.000 0.000 O
2.352 2.352 2.345 Sr
0.000 0.000 0.000 Ba
0.000 0.000 2.345 N

# 5
PBE BaSrNO2, optimized geometry; SG = No. 123; calculated total energy = -5.118 eV per atom; raw formation energy = -0.75 eV/atom
1.0
-3.413 -1.935 2.598
2.712 0.358 3.829
-1.802 4.345 0.870
Ba O Sr N
1 2 1 1
Cartesian
-1.252 1.384 3.648 Ba
-1.706 -0.968 1.299 O
1.356 0.179 1.915 O
0.000 0.000 0.000 Sr
-0.901 2.173 0.435 N

# 6
PBE BaTa2NO, optimized geometry; SG = No. 123; relative energy among the computed polymorphs = 0 meV/atom; calculated total energy = -8.024 eV per atom; raw formation energy = -0.24 eV/atom
1.0
-0.364 -0.532 3.980
2.978 -6.561 -0.605
3.656 1.609 0.549
Ta O N Ba
2 1 1 1
Cartesian
-0.182 -0.266 1.990 Ta
1.828 0.804 0.275 Ta
1.489 -3.281 -0.303 O
0.000 0.000 0.000 N
3.135 -2.742 1.962 Ba

# 7
PBE Ba3Ta2N4O2, optimized geometry; SG = No. 139; calculated total energy = -8.150 eV per atom; raw formation energy = -1.54 eV/atom
1.0
-0.997 1.575 3.683
-0.996 -3.774 1.344
11.565 -0.438 1.003
Ba O Ta N
3 2 2 4
Cartesian
5.732 -2.078 4.753 Ba
3.839 -0.558 1.278 Ba
0.000 0.000 0.000 Ba
6.545 -0.952 2.178 O
3.026 -1.684 3.853 O
1.208 -1.420 3.248 Ta
8.363 -1.216 2.783 Ta
1.415 0.509 2.478 N
8.156 -0.471 4.722 N
8.157 -3.146 3.553 N
1.415 -2.165 1.309 N

# 8
PBE Ba3Ta2N3O4, optimized geometry; SG = No. 44; calculated total energy = -8.199 eV per atom; raw formation energy = -2.01 eV/atom
1.0
-3.350 1.910 1.760
-2.482 -2.951 -1.522
4.331 -5.341 8.935
Ba Ta O N
3 2 4 3
Cartesian
0.848 -3.673 5.737 Ba
-2.957 -0.497 0.140 Ba
-2.439 -2.657 3.482 Ba
-1.852 -5.229 7.510 Ta
0.183 -1.057 1.750 Ta
0.571 -2.233 3.396 O
-1.366 -0.206 2.626 O
-1.998 -4.191 5.737 O
-0.068 -6.214 6.511 O
-3.337 1.903 1.753 N
-0.950 -2.590 0.925 N
-0.500 -3.821 8.221 N

# 9
PBE BaTa2NO, optimized geometry; SG = No. 123; relative energy among the computed polymorphs = 3593 meV/atom; calculated total energy = -4.431 eV per atom; raw formation energy = 3.35 eV/atom
1.0
-0.319 -5.185 -0.676
2.663 0.271 -3.335
4.086 -0.670 3.209
Ba N O Ta
1 1 1 2
Cartesian
0.000 0.000 0.000 Ba
1.332 0.136 -1.667 N
3.215 -2.792 -0.401 O
-0.159 -2.592 -0.338 Ta
2.043 -0.335 1.604 Ta

# 10
PBE BaTeNO2, optimized geometry; SG = No. 123; calculated total energy = -3.892 eV per atom; raw formation energy = 0.77 eV/atom
1.0
4.847 0.000 0.000
0.000 4.847 0.000
0.000 0.000 5.466
Ba Te O N
1 1 2 1
Cartesian
0.000 0.000 0.000 Ba
2.423 2.423 2.733 Te
2.423 0.000 0.000 O
0.000 2.423 0.000 O
0.000 0.000 2.733 N

# 11
PBE BaTe2NO, optimized geometry; SG = No. 123; relative energy among the computed polymorphs = 1187 meV/atom; calculated total energy = -2.968 eV per atom; raw formation energy = 1.33 eV/atom
1.0
-2.614 -3.092 -5.670
3.901 -5.631 1.272
-3.947 -2.069 2.948
Ba O N Te
1 1 1 2
Cartesian
0.000 0.000 0.000 Ba
-1.330 -5.396 -0.725 O
-1.974 -1.034 1.474 N
-1.307 -1.546 -2.835 Te
1.951 -2.815 0.636 Te

# 12
PBE BaTe2NO, optimized geometry; SG = No. 123; relative energy among the computed polymorphs = 0 meV/atom; calculated total energy = -4.155 eV per atom; raw formation energy = 0.14 eV/atom
1.0
-2.654 0.079 -3.628
0.587 -4.426 -0.525
-4.899 -1.072 3.560
O Te N Ba
1 2 1 1
Cartesian
0.000 0.000 0.000 O
0.293 -2.213 -0.263 Te
-1.327 0.039 -1.814 Te
-2.450 -0.536 1.780 N
-3.483 -2.710 -0.297 Ba

# 13
PBE BaTeNO2, optimized geometry; SG = No. 123; calculated total energy = -5.663 eV per atom; raw formation energy = -1.00 eV/atom
1.0
-2.530 -3.248 1.244
3.173 -2.785 -0.818
1.368 0.419 3.879
N Te Ba O
1 1 1 2
Cartesian
0.684 0.210 1.939 N
0.000 0.000 0.000 Te
1.006 -2.807 2.152 Ba
-1.265 -1.624 0.622 O
1.587 -1.393 -0.409 O

# 14
PBE BaTlN2O, optimized geometry; SG = No. 123; calculated total energy = -4.734 eV per atom; raw formation energy = 0.45 eV/atom
1.0
4.402 0.000 0.000
0.000 4.402 0.000
0.000 0.000 4.609
N Ba Tl O
2 1 1 1
Cartesian
0.000 2.201 0.000 N
2.201 0.000 0.000 N
2.201 2.201 2.305 Ba
0.000 0.000 0.000 Tl
0.000 0.000 2.305 O

# 15
PBE BaTlN2O, optimized geometry; SG = No. 123; calculated total energy = -4.134 eV per atom; raw formation energy = 1.05 eV/atom
1.0
-2.830 3.701 2.666
-3.845 -0.248 -3.737
-2.228 -3.524 2.526
Tl O N Ba
1 1 2 1
Cartesian
-4.452 -0.035 0.727 Tl
-1.114 -1.762 1.263 O
-1.415 1.850 1.333 N
-1.922 -0.124 -1.869 N
0.000 0.000 0.000 Ba

# 16
PBE Ba6Tl2NO, optimized geometry; SG = No. 139; calculated total energy = -3.727 eV per atom; raw formation energy = -0.77 eV/atom
1.0
-3.888 -6.905 -0.186
0.781 -0.651 7.861
-9.698 5.422 1.413
Ba N Tl O
12 2 4 2
Cartesian
-2.145 -5.844 7.708 Ba
-2.531 -5.520 3.809 Ba
-9.005 0.442 2.929 Ba
-4.190 -2.250 2.228 Ba
-6.704 3.588 6.958 Ba
-7.368 -2.778 4.480 Ba
-5.828 0.969 0.673 Ba
-0.184 -2.362 7.802 Ba
-7.755 -2.454 0.581 Ba
-5.440 0.647 4.572 Ba
-0.572 -2.040 3.903 Ba
-1.822 0.858 6.247 Ba
0.586 -0.489 5.896 N
-6.598 -0.904 2.579 N
-8.634 0.127 6.863 Tl
-2.232 1.194 2.319 Tl
-7.076 3.902 3.024 Tl
-3.780 -2.587 6.156 Tl
-1.749 -3.615 1.871 O
-4.263 2.222 6.603 O

# 17
PBE Ba3U2N2O5, optimized geometry; SG = No. 139; calculated total energy = -8.291 eV per atom; raw formation energy = -2.48 eV/atom
1.0
4.450 0.000 0.000
0.000 4.450 0.000
-2.225 -2.225 11.196
Ba O U N
3 5 2 2
Cartesian
2.225 2.225 6.961 Ba
0.000 0.000 4.235 Ba
0.000 0.000 0.000 Ba
0.000 2.225 9.131 O
0.000 2.225 2.065 O
2.225 0.000 2.065 O
2.225 2.225 0.000 O
2.225 0.000 9.131 O
2.225 2.225 2.213 U
0.000 0.000 8.984 U
2.225 2.225 4.239 N
0.000 0.000 6.957 N

# 18
PBE Ba2UN2O2, optimized geometry; SG = No. 139; calculated total energy = -8.047 eV per atom; raw formation energy = -2.09 eV/atom
1.0
4.321 0.000 0.000
0.000 4.321 0.000
-2.160 -2.160 6.948
O U N Ba
2 1 2 2
Cartesian
2.160 2.160 4.756 O
0.000 0.000 2.192 O
0.000 0.000 0.000 U
0.000 2.160 0.000 N
2.160 0.000 0.000 N
2.160 2.160 2.042 Ba
0.000 0.000 4.907 Ba

# 19
PBE BaUN2O, optimized geometry; SG = No. 123; calculated total energy = -8.840 eV per atom; raw formation energy = -1.88 eV/atom
1.0
-3.034 -1.275 5.096
1.539 -5.842 -0.545
4.456 4.312 0.121
N U Ba O
4 2 2 2
Cartesian
3.336 -1.028 3.531 N
4.079 2.534 1.261 N
2.564 1.892 3.808 N
4.851 -0.386 0.984 N
-0.747 -3.558 2.275 U
0.000 0.000 0.000 U
0.339 -0.261 3.747 Ba
2.625 -2.544 0.926 Ba
1.107 -3.182 3.473 O
1.854 0.377 1.198 O